A plane-wave DFT calculation with PBE was carried out for CrMoP after structural relaxation.

Lattice parameters (Å, degrees): 4.6217 6.7091 4.9140 90.00 90.00 90.00
Fractional coordinates of all 12 atoms:
Mo 0.7500 0.8705 0.3579
Cr 0.0000 0.5000 0.3739
Mo 0.2500 0.1295 0.3579
P 0.2500 0.7205 0.0619
Cr 0.5000 0.0000 0.8739
P 0.2500 0.7795 0.5619
Cr 0.0000 0.0000 0.8739
Mo 0.2500 0.3705 0.8579
P 0.7500 0.2205 0.5619
Cr 0.5000 0.5000 0.3739
P 0.7500 0.2795 0.0619
Mo 0.7500 0.6295 0.8579

Symmetry = Ima2 (46)
Crystal system = orthorhombic
DFT total energy = -8.85 eV per atom
Formation energy = -65 kJ/mol of formula units